(1)
Computed, not measured: an optimized crystal structure of CuRe2Sb at the PBE level of DFT.

Calculated values
Uncorrected energy (eV per atom): -7.618
Symmetry: P2/m, No. 10
E_form (uncorrected) (kcal/mol of atoms): 15.22

a b c (Å): 4.4945 2.9200 5.0021
angles (deg): 86.76 90.00 90.00
Element x y z (fractional)
Cu (0.5000, 0.7500, 0.7500)
Re (0.0000, 0.0423, 0.9750)
Sb (0.5000, 0.2500, 0.2500)
Re (0.0000, 0.4577, 0.5250)



(2)
Computed, not measured: an optimized crystal structure of Cu3ReSb at the PBE level of DFT.

Calculated values
Uncorrected energy (eV per atom): -4.443
Symmetry: Pm-3m, No. 221
E_form (uncorrected) (kcal/mol of atoms): 30.65

a b c (Å): 4.6714 4.6714 4.6714
angles (deg): 90.00 90.00 90.00
Element x y z (fractional)
Re (0.0000, 0.0000, 0.0000)
Cu (0.5000, 0.0000, 0.0000)
Cu (0.0000, 0.5000, 0.0000)
Sb (0.5000, 0.5000, 0.5000)
Cu (0.0000, 0.0000, 0.5000)



(3)
Computed, not measured: an optimized crystal structure of CuReSb at the PBE level of DFT.

Calculated values
Uncorrected energy (eV per atom): -6.234
Symmetry: F-43m, No. 216
E_form (uncorrected) (kcal/mol of atoms): 15.10

a b c (Å): 4.3451 4.3451 4.3451
angles (deg): 60.00 60.00 60.00
Last column: magnetic moment on the atom in μB.
Element x y z (fractional)
Sb (0.0000, 0.0000, 0.0000)  -0.01
Cu (0.5000, 0.5000, 0.5000)  0.04
Re (0.7500, 0.7500, 0.7500)  0.35



(4)
Computed, not measured: an optimized crystal structure of CuRe2Sb at the PBE level of DFT.

Calculated values
Uncorrected energy (eV per atom): -7.662
Symmetry: Imm2, No. 44
E_form (uncorrected) (kcal/mol of atoms): 14.22

a b c (Å): 5.1509 5.1509 5.1509
angles (deg): 142.89 129.69 64.14
Element x y z (fractional)
Re (0.7493, 0.2493, 0.5000)
Cu (0.2532, 0.7532, 0.5000)
Sb (0.4961, 0.4961, 0.0000)
Re (0.0014, 0.0014, 0.0000)



(5)
Computed, not measured: an optimized crystal structure of CuRe3Sb at the PBE level of DFT.

Calculated values
Uncorrected energy (eV per atom): -7.186
Symmetry: Pm-3m, No. 221
E_form (uncorrected) (kcal/mol of atoms): 44.43

a b c (Å): 4.5212 4.5212 4.5212
angles (deg): 90.00 90.00 90.00
Last column: magnetic moment on the atom in μB.
Element x y z (fractional)
Sb (0.5000, 0.5000, 0.5000)  -0.02
Cu (0.0000, 0.0000, 0.0000)  0.06
Re (0.0000, 0.5000, 0.0000)  0.67
Re (0.0000, 0.0000, 0.5000)  0.91
Re (0.5000, 0.0000, 0.0000)  0.54



(6)
Computed, not measured: an optimized crystal structure of CuRe2Sb at the PBE level of DFT.

Calculated values
Uncorrected energy (eV per atom): -7.332
Symmetry: Cmmm, No. 65
E_form (uncorrected) (kcal/mol of atoms): 21.83

a b c (Å): 2.7374 2.7374 9.4598
angles (deg): 90.00 90.00 109.55
Element x y z (fractional)
Cu (0.5000, 0.5000, 0.7500)
Sb (0.5000, 0.5000, 0.2500)
Re (0.0000, 0.0000, 0.9710)
Re (0.0000, 0.0000, 0.5290)



(7)
Computed, not measured: an optimized crystal structure of CuRe2Sb at the PBE level of DFT.

Calculated values
Uncorrected energy (eV per atom): -7.730
Symmetry: I-4m2, No. 119
E_form (uncorrected) (kcal/mol of atoms): 12.66

a b c (Å): 4.7597 4.7597 4.7597
angles (deg): 129.40 129.40 74.37
Element x y z (fractional)
Re (0.2500, 0.7500, 0.5000)
Re (0.0000, 0.0000, 0.0000)
Sb (0.5000, 0.5000, 0.0000)
Cu (0.7500, 0.2500, 0.5000)



(8)
Computed, not measured: an optimized crystal structure of TaCuRe2Sb at the PBE level of DFT.

Calculated values
Uncorrected energy (eV per atom): -7.113
Symmetry: P4/mmm, No. 123
E_form (uncorrected) (kcal/mol of atoms): 43.36

a b c (Å): 4.8108 4.7908 4.8108
angles (deg): 90.00 90.00 90.00
Last column: magnetic moment on the atom in μB.
Element x y z (fractional)
Re (0.0000, 0.0000, 0.5000)  0.38
Re (0.5000, 0.0000, 0.0000)  0.47
Ta (0.0000, 0.0000, 0.0000)  -0.07
Cu (0.0000, 0.5000, 0.0000)  0.01
Sb (0.5000, 0.5000, 0.5000)  -0.03